Density functional theory data (PBE-GGA) for ZnCuHIr2 after structural relaxation.

a = 3.8788 Å, b = 3.8788 Å, c = 3.9103 Å
α = 90.00°, β = 90.00°, γ = 90.00°
Space group P4/mmm (No. 123)
Asymmetric unit:
Zn1 0.0000 0.0000 0.0000
Cu1 0.5000 0.5000 0.0000
H1 0.0000 0.0000 0.5000
Ir1 0.0000 0.5000 0.5000

Results
* energy: -5.115 eV/atom
* Fermi-level density of states: 5.00 states/eV per cell
* polymorph energy (0 for the lowest one): 1.65 kcal/mol of atoms

=====

Density functional theory data (PBE-GGA) for AgSnH after structural relaxation.

a = 5.3616 Å, b = 3.2529 Å, c = 6.0594 Å
α = 90.00°, β = 102.94°, γ = 90.00°
Space group Cm (No. 8)
Asymmetric unit:
Ag1 0.0000 0.0000 0.0000
Sn1 0.4954 0.0000 0.5459
H1 0.3694 0.0000 0.1152

Results
* energy: -3.153 eV/atom
* Fermi-level density of states: 1.27 states/eV per cell
* polymorph energy (0 for the lowest one): 0.76 kcal/mol of atoms